1.
VASP calculation (PBE-GGA) on an optimized crystal structure of Ca2AgPb. Values from VASP.

Magnetization (μB per cell): 0.000
Formation enthalpy at 0 K (eV per formula unit): -0.79
Symmetry: No. 216

Structure (Quantum ESPRESSO input):
```
&SYSTEM
  ibrav = 0, nat = 4, ntyp = 3
/
ATOMIC_SPECIES
Pb 207.20 Pb.upf
Ca 40.08 Ca.upf
Ag 107.87 Ag.upf
ATOMIC_POSITIONS crystal
Pb 0.750 0.750 0.750
Ca 0.000 0.000 0.000
Ca 0.250 0.250 0.250
Ag 0.500 0.500 0.500
CELL_PARAMETERS angstrom
-0.737 3.689 -3.827
2.743 -0.322 -4.601
-2.530 -1.317 -4.545
```

---

2.
VASP calculation (PBE-GGA) on an optimized crystal structure of CaAg3Pb. Values from VASP.

ΔE to the lowest computed polymorph (meV per atom): 0
Magnetization (μB per cell): 0.000
Formation enthalpy at 0 K (eV per formula unit): -0.79
Symmetry: No. 59

Structure (Quantum ESPRESSO input):
```
&SYSTEM
  ibrav = 0, nat = 10, ntyp = 3
/
ATOMIC_SPECIES
Ca 40.08 Ca.upf
Ag 107.87 Ag.upf
Pb 207.20 Pb.upf
ATOMIC_POSITIONS crystal
Ca 0.476 0.381 0.701
Ca 0.976 0.972 0.201
Ag 0.476 0.238 0.201
Ag 0.476 0.948 0.909
Ag 0.976 0.405 0.409
Ag 0.976 0.115 0.701
Ag 0.976 0.405 0.992
Ag 0.476 0.948 0.492
Pb 0.976 0.722 0.701
Pb 0.476 0.631 0.201
CELL_PARAMETERS angstrom
4.931 0.000 0.000
0.000 7.222 0.000
0.000 0.000 6.556
```

---

no.,ρ (g cm⁻³)
1,6.007
2,8.121